(1)
An optimized crystal structure of Hf3TlSi, computed with PBE.

Cell: 5.2247 5.2247 5.2247 Å, 90.00 90.00 90.00°
Last column: nearest neighbours and their distance in Å.
Element x y z (fractional)
Tl 0.0000 0.0000 0.0000  6 Hf 2.61
Hf 0.0000 0.5000 0.0000  2 Tl 2.61
Hf 0.0000 0.0000 0.5000  2 Tl 2.61
Hf 0.5000 0.0000 0.0000  2 Tl 2.61
Si 0.5000 0.5000 0.5000  12 Hf 3.69

Properties
VASP energy in hartree per atom: -0.221
ΔE_f (raw) in eV per formula unit: 7.57


(2)
An optimized crystal structure of Hf3TlSi, computed with PBE.

Cell: 4.8966 4.8966 4.8966 Å, 90.00 90.00 90.00°
Last column: nearest neighbours and their distance in Å.
Element x y z (fractional)
Tl 0.5000 0.5000 0.5000  12 Hf 3.46
Hf 0.0000 0.5000 0.0000  2 Si 2.45
Hf 0.0000 0.0000 0.5000  2 Si 2.45
Hf 0.5000 0.0000 0.0000  2 Si 2.45
Si 0.0000 0.0000 0.0000  6 Hf 2.45

Properties
VASP energy in hartree per atom: -0.270
ΔE_f (raw) in eV per formula unit: 0.88


(3)
An optimized crystal structure of Hf2TlSi, computed with PBE.

Cell: 4.8471 4.8471 4.8471 Å, 60.00 60.00 60.00°
Last column: nearest neighbours and their distance in Å.
Element x y z (fractional)
Tl 0.5000 0.5000 0.5000  8 Hf 2.97
Hf 0.2500 0.2500 0.2500  4 Tl 2.97, 4 Si 2.97
Hf 0.7500 0.7500 0.7500  4 Si 2.97, 4 Tl 2.97
Si 0.0000 0.0000 0.0000  8 Hf 2.97

Properties
VASP energy in hartree per atom: -0.252
ΔE_f (raw) in eV per formula unit: 0.29


(4)
An optimized crystal structure of Hf2TlSi, computed with PBE.

Cell: 7.5643 7.5643 6.1433 Å, 52.00 52.00 90.00°
Last column: nearest neighbours and their distance in Å.
Element x y z (fractional)
Tl 0.0000 0.0000 0.0000  4 Hf 2.90, 2 Si 3.02
Tl 0.7500 0.2500 0.5000  4 Hf 2.90, 2 Si 3.02
Hf 0.6014 0.1250 0.2500  2 Si 2.66, 2 Tl 2.90
Hf 0.1486 0.6250 0.2500  2 Si 2.66, 2 Tl 2.90
Hf 0.3750 0.3986 0.7500  2 Si 2.66, 2 Tl 2.90
Hf 0.8750 0.8514 0.7500  2 Si 2.66, 2 Tl 2.90
Si 0.5000 0.5000 0.0000  4 Hf 2.66
Si 0.2500 0.7500 0.5000  4 Hf 2.66

Properties
VASP energy in hartree per atom: -0.253
ΔE_f (raw) in eV per formula unit: 0.20


(5)
An optimized crystal structure of HfTl4Si2, computed with PBE.

Cell: 5.7330 5.7330 7.8467 Å, 68.57 68.57 90.00°
Last column: nearest neighbours and their distance in Å.
Element x y z (fractional)
Tl 0.7864 0.7864 0.4273  1 Si 2.69, 1 Hf 2.87
Tl 0.2136 0.2136 0.5727  1 Si 2.69, 1 Hf 2.87
Tl 0.0000 0.5000 0.0000  2 Hf 2.87, 4 Si 3.09
Tl 0.5000 0.0000 0.0000  2 Hf 2.87, 4 Si 3.09
Hf 0.0000 0.0000 0.0000  6 Tl 2.87
Si 0.5863 0.5863 0.8275  1 Si 2.32
Si 0.4137 0.4137 0.1725  1 Si 2.32

Properties
VASP energy in hartree per atom: -0.135
ΔE_f (raw) in eV per formula unit: 4.64


(6)
An optimized crystal structure of YHfTl2Si, computed with PBE.

Cell: 5.6028 5.1706 5.6028 Å, 90.00 90.00 90.00°
Last column: nearest neighbours and their distance in Å.
Element x y z (fractional)
Y 0.0000 0.0000 0.0000  2 Si 2.59, 4 Tl 2.80
Tl 0.0000 0.0000 0.5000  2 Y 2.80
Tl 0.5000 0.0000 0.0000  2 Y 2.80
Hf 0.5000 0.5000 0.5000  8 Tl 3.81, 4 Si 3.96
Si 0.0000 0.5000 0.0000  2 Y 2.59

Properties
VASP energy in hartree per atom: -0.153
ΔE_f (raw) in eV per formula unit: 5.76